Rb2Sb7Au12 after structural relaxation. Source: Alexandria via LeMat-Bulk, functional PBE-GGA.

## Properties
Total moment ... 0.000 Bohr magnetons per cell
Raw total energy ... -73.16 eV/cell
N(E_F) ... 0.306 states/eV/atom

Unit cell a=5.103 b=10.717 c=10.716 alpha=120.05 beta=90.06 gamma=89.95
Atoms (fractional coordinates):
Au 0.806 0.562 0.620
Au 0.166 0.748 0.873
Au 0.193 0.942 0.562
Sb 0.500 0.000 0.000
Au 0.807 0.380 0.942
Sb 0.324 0.900 0.293
Sb 0.676 0.607 0.900
Au 0.194 0.438 0.380
Sb 0.676 0.100 0.707
Au 0.807 0.058 0.438
Au 0.193 0.620 0.058
Sb 0.324 0.708 0.608
Au 0.167 0.127 0.875
Sb 0.676 0.292 0.392
Au 0.833 0.873 0.125
Au 0.834 0.252 0.127
Rb 0.773 0.667 0.333
Au 0.167 0.125 0.253
Rb 0.227 0.333 0.667
Sb 0.324 0.393 0.100
Au 0.833 0.875 0.747

***

RbSb4Au5 after structural relaxation. Source: Alexandria via LeMat-Bulk, functional PBE-GGA.

## Properties
Total moment ... 0.000 Bohr magnetons per cell
Raw total energy ... -69.28 eV/cell
N(E_F) ... 0.485 states/eV/atom

Unit cell a=4.902 b=13.914 c=7.908 alpha=90.00 beta=90.00 gamma=90.00
Atoms (fractional coordinates):
Rb 0.925 0.000 0.000
Sb 0.440 0.000 0.313
Au 0.829 0.675 0.189
Sb 0.440 0.000 0.687
Sb 0.302 0.259 0.000
Sb 0.698 0.241 0.500
Au 0.829 0.325 0.811
Au 0.171 0.825 0.689
Au 0.829 0.675 0.811
Sb 0.560 0.500 0.187
Au 0.829 0.325 0.189
Rb 0.075 0.500 0.500
Au 0.070 0.500 0.000
Au 0.171 0.825 0.311
Au 0.930 0.000 0.500
Au 0.171 0.175 0.689
Sb 0.302 0.741 0.000
Au 0.171 0.175 0.311
Sb 0.698 0.759 0.500
Sb 0.560 0.500 0.813

***

RbSb3Au4 after structural relaxation. Source: Alexandria via LeMat-Bulk, functional PBE-GGA.

## Properties
Total moment ... 0.000 Bohr magnetons per cell
Raw total energy ... -27.70 eV/cell
N(E_F) ... 0.403 states/eV/atom

Unit cell a=4.995 b=4.995 c=8.525 alpha=90.00 beta=90.00 gamma=90.00
Atoms (fractional coordinates):
Au 0.000 0.500 0.823
Sb 0.500 0.500 0.678
Au 0.500 0.000 0.177
Rb 0.000 0.000 0.500
Au 0.500 0.000 0.823
Sb 0.000 0.000 0.000
Sb 0.500 0.500 0.322
Au 0.000 0.500 0.177

***

RbSb2Au2 after structural relaxation. Source: Alexandria via LeMat-Bulk, functional PBE-GGA.

## Properties
Total moment ... 0.000 Bohr magnetons per cell
Raw total energy ... -31.94 eV/cell
N(E_F) ... 0.270 states/eV/atom

Unit cell a=8.931 b=8.931 c=3.261 alpha=90.00 beta=90.00 gamma=90.00
Atoms (fractional coordinates):
Rb 0.500 0.500 0.000
Au 0.340 0.160 0.500
Au 0.660 0.840 0.500
Sb 0.363 0.863 0.000
Sb 0.863 0.637 0.000
Au 0.160 0.660 0.500
Sb 0.137 0.363 0.000
Au 0.840 0.340 0.500
Rb 0.000 0.000 0.000
Sb 0.637 0.137 0.000

***

RbSb12Au4 after structural relaxation. Source: Alexandria via LeMat-Bulk, functional PBE-GGA.

## Properties
Total moment ... 0.000 Bohr magnetons per cell
Raw total energy ... -64.87 eV/cell
N(E_F) ... 0.609 states/eV/atom

Unit cell a=8.614 b=8.614 c=8.614 alpha=109.47 beta=109.47 gamma=109.47
Atoms (fractional coordinates):
Au 0.500 0.500 0.500
Sb 0.151 0.353 0.503
Sb 0.353 0.202 0.849
Au 0.000 0.000 0.500
Sb 0.849 0.353 0.202
Rb 0.000 0.000 0.000
Sb 0.849 0.647 0.497
Sb 0.353 0.503 0.151
Sb 0.798 0.151 0.647
Sb 0.497 0.849 0.647
Sb 0.647 0.497 0.849
Sb 0.647 0.798 0.151
Au 0.500 0.000 0.000
Sb 0.202 0.849 0.353
Au 0.000 0.500 0.000
Sb 0.151 0.647 0.798
Sb 0.503 0.151 0.353

***

Rb2Sb2Au after structural relaxation. Source: Alexandria via LeMat-Bulk, functional PBE-GGA.

## Properties
Total moment ... 0.000 Bohr magnetons per cell
Raw total energy ... -14.89 eV/cell
N(E_F) ... 0.631 states/eV/atom

Unit cell a=5.500 b=4.753 c=7.466 alpha=108.56 beta=90.00 gamma=90.00
Atoms (fractional coordinates):
Rb 0.000 0.687 0.373
Sb 0.500 0.510 0.019
Au 0.500 0.107 0.214
Rb 0.000 0.933 0.867
Sb 0.500 0.305 0.610